# 1
## AgBiBr2O (PBE-GGA)

Data for crystalline AgBiBr2O at its relaxed geometry.

The value obtained for the calculated volume is 24.80 Å³/atom. Its space group is Cmcm (63). As for the uncorrected energy: -3.6215 eV/atom.

Lattice parameters (Å, degrees): 7.403 7.403 9.282 90.00 90.00 150.82
Element x y z (fractional)
Ag: 0.000 0.000 0.000
Ag: 0.000 0.000 0.500
Bi: 0.313 0.687 0.750
Bi: 0.687 0.313 0.250
Br: 0.359 0.641 0.060
Br: 0.359 0.641 0.440
Br: 0.641 0.359 0.560
Br: 0.641 0.359 0.940
O: 0.105 0.895 0.250
O: 0.895 0.105 0.750

***

# 2
## PmAs2PdRh5 (PBE-GGA)

Data for crystalline PmAs2PdRh5 at its relaxed geometry.

The value obtained for the calculated volume is 17.14 Å³/atom. Its space group is P4/mmm (123). The value obtained for the formation energy is -0.295 eV/atom. As for the uncorrected energy: -6.5175 eV/atom.

Lattice parameters (Å, degrees): 4.164 4.164 8.896 90.00 90.00 90.00
Element x y z (fractional)
Pm: 0.000 0.000 0.000
As: 0.500 0.500 0.364
As: 0.500 0.500 0.636
Pd: 0.000 0.000 0.500
Rh: 0.000 0.500 0.236
Rh: 0.000 0.500 0.764
Rh: 0.500 0.000 0.236
Rh: 0.500 0.000 0.764
Rh: 0.500 0.500 0.000

***

# 3
## CeSmCuOs (PBE-GGA)

Data for crystalline CeSmCuOs at its relaxed geometry.

The value obtained for the calculated volume is 21.36 Å³/atom. Its space group is F-43m (216). The value obtained for the formation energy is -0.117 eV/atom. As for the uncorrected energy: -6.6120 eV/atom.

Lattice parameters (Å, degrees): 4.944 4.944 4.944 60.00 60.00 60.00
Element x y z (fractional)
Ce: 0.000 0.000 0.000
Sm: 0.500 0.500 0.500
Cu: 0.750 0.750 0.750
Os: 0.250 0.250 0.250

***

# 4
## YMo4Au (PBE-GGA)

Data for crystalline YMo4Au at its relaxed geometry.

The value obtained for the calculated volume is 18.42 Å³/atom. Its space group is F-43m (216). The value obtained for the formation energy is 0.256 eV/atom. As for the uncorrected energy: -8.5887 eV/atom.

Lattice parameters (Å, degrees): 5.386 5.386 5.386 60.00 60.00 60.00
Element x y z (fractional)
Y: 0.000 0.000 0.000
Mo: 0.375 0.375 0.375
Mo: 0.375 0.375 0.876
Mo: 0.375 0.876 0.375
Mo: 0.876 0.375 0.375
Au: 0.750 0.750 0.750